Entry 1:
Here is a geometry-optimized Mg2HgTe structure from Alexandria via LeMat-Bulk. Energies are from PBE.

Properties
Density ... 6.45 g cm⁻³
Excess energy over the best structure of this formula in the dataset ... 99 meV/atom
Raw formation energy ... -0.27 eV per atom
Symmetry ... C2/m

Unit cell a=7.911 b=4.951 c=3.958 alpha=89.20 beta=61.12 gamma=127.29
Atoms (fractional coordinates):
Te  0.000  0.500  0.500
Mg  0.000  0.000  0.000
Mg  0.500  0.000  0.500
Hg  0.500  0.500  0.000



Entry 2:
Here is a geometry-optimized MgHgTe2 structure from Alexandria via LeMat-Bulk. Energies are from PBE.

Properties
Density ... 7.37 g cm⁻³
Excess energy over the best structure of this formula in the dataset ... 544 meV/atom
Raw formation energy ... 0.03 eV per atom
Symmetry ... F-43m

Unit cell a=5.348 b=5.348 c=5.348 alpha=60.00 beta=60.00 gamma=60.00
Atoms (fractional coordinates):
Hg  0.500  0.500  0.500
Te  0.250  0.250  0.250
Te  0.000  0.000  0.000
Mg  0.750  0.750  0.750



Entry 3:
Here is a geometry-optimized MgHgTe2 structure from Alexandria via LeMat-Bulk. Energies are from PBE.

Properties
Density ... 6.71 g cm⁻³
Excess energy over the best structure of this formula in the dataset ... 197 meV/atom
Raw formation energy ... -0.32 eV per atom
Symmetry ... Cm

Unit cell a=7.481 b=8.504 c=8.504 alpha=152.95 beta=150.88 gamma=41.48
Atoms (fractional coordinates):
Te  0.967  0.046  0.922
Te  0.920  0.274  0.646
Mg  0.290  0.708  0.581
Hg  0.323  0.472  0.851



Entry 4:
Here is a geometry-optimized MgHgTe2 structure from Alexandria via LeMat-Bulk. Energies are from PBE.

Properties
Density ... 7.15 g cm⁻³
Excess energy over the best structure of this formula in the dataset ... 431 meV/atom
Raw formation energy ... -0.08 eV per atom
Symmetry ... P4mm

Unit cell a=3.302 b=3.302 c=10.223 alpha=90.00 beta=90.00 gamma=90.00
Atoms (fractional coordinates):
Hg  0.000  0.000  0.542
Mg  0.500  0.500  0.738
Te  0.500  0.500  0.288
Te  0.000  0.000  0.932



Entry 5:
Here is a geometry-optimized Mg2HgTe structure from Alexandria via LeMat-Bulk. Energies are from PBE.

Properties
Density ... 6.27 g cm⁻³
Excess energy over the best structure of this formula in the dataset ... 127 meV/atom
Raw formation energy ... -0.25 eV per atom
Symmetry ... Immm

Unit cell a=5.464 b=5.464 c=5.464 alpha=133.31 beta=119.83 gamma=79.44
Atoms (fractional coordinates):
Te  0.750  0.250  0.500
Mg  0.006  0.006  0.000
Mg  0.494  0.494  0.000
Hg  0.250  0.750  0.500



Entry 6:
Here is a geometry-optimized MgHgTe2 structure from Alexandria via LeMat-Bulk. Energies are from PBE.

Properties
Density ... 6.41 g cm⁻³
Excess energy over the best structure of this formula in the dataset ... 246 meV/atom
Raw formation energy ... -0.27 eV per atom
Symmetry ... P2/m

Unit cell a=4.330 b=5.147 c=6.303 alpha=62.33 beta=90.00 gamma=90.00
Atoms (fractional coordinates):
Hg  0.500  0.250  0.250
Te  0.000  0.960  0.954
Te  0.000  0.540  0.546
Mg  0.500  0.750  0.750